This record from Alexandria describes LaCoIrO6 after structural relaxation. The functional is PBE+U.

Properties
- magnetization (μB per formula unit) = 2.86
- E_tot (Ry per atom) = -0.509

abc: 5.1097 5.1097 5.1932
angles: 90.00 90.00 120.00
Space group P312 (No. 149)
Unique sites:
La (0.0000, 0.0000, 0.0000) (multiplicity 1)
Co (0.3333, 0.6667, 0.5000) (multiplicity 1)
Ir (0.6667, 0.3333, 0.5000) (multiplicity 1)
O (0.0059, 0.3738, 0.7052) (multiplicity 6)